No. 1
## La3Tb2NdTe6 (PBE-GGA)

Data for La3Tb2NdTe6 after structural relaxation.

abc: 4.4815 9.0359 10.0508
angles: 103.00 102.88 90.00
Last column: nearest neighbours and their distance in Å.
Positions (direct):
1 La 0.5000 0.5000 0.0000  6 Te 3.20-3.25
2 La 0.8362 0.1671 0.6724  6 Te 3.21-3.26
3 La 0.1638 0.8329 0.3276  6 Te 3.21-3.26
4 Tb 0.8342 0.6680 0.6685  6 Te 3.08-3.12
5 Tb 0.1658 0.3320 0.3315  6 Te 3.08-3.12
6 Nd 0.5000 0.0000 0.0000  6 Te 3.16-3.19
7 Te 0.3329 0.9061 0.6658  2 Tb 3.11, 1 Nd 3.19, 3 La 3.23-3.24
8 Te 0.6705 0.5750 0.3411  3 Tb 3.12, 3 La 3.25-3.26
9 Te 0.6671 0.0939 0.3342  2 Tb 3.11, 1 Nd 3.19, 3 La 3.23-3.24
10 Te 0.0045 0.2492 0.0089  1 Tb 3.08, 2 Nd 3.16, 3 La 3.20-3.21
11 Te 0.9955 0.7508 0.9911  1 Tb 3.08, 2 Nd 3.16, 3 La 3.20-3.21
12 Te 0.3295 0.4250 0.6589  3 Tb 3.12, 3 La 3.25-3.26

Summary:
DOS at the Fermi energy: 0.62 states/eV per atom
final energy: -5.45 eV per atom
symmetry: C2/m (12)
size of the total moment: 0.000 μB/atom
E_form (uncorrected): -1.476 eV/atom

---

No. 2
## LaTb2Nd3Te6 (PBE-GGA)

Data for LaTb2Nd3Te6 after structural relaxation.

abc: 4.4467 9.0003 9.9991
angles: 103.13 102.85 90.00
Last column: nearest neighbours and their distance in Å.
Positions (direct):
1 La 0.5000 0.0000 0.0000  6 Te 3.19-3.22
2 Tb 0.8336 0.6686 0.6672  6 Te 3.07-3.12
3 Tb 0.1664 0.3314 0.3328  6 Te 3.07-3.12
4 Nd 0.5000 0.5000 0.0000  6 Te 3.14-3.21
5 Nd 0.8375 0.1697 0.6751  6 Te 3.17-3.21
6 Nd 0.1625 0.8303 0.3249  6 Te 3.17-3.21
7 Te 0.3300 0.9091 0.6600  2 Tb 3.12, 3 Nd 3.18-3.21, 1 La 3.22
8 Te 0.6694 0.5765 0.3388  3 Tb 3.11-3.12, 3 Nd 3.21
9 Te 0.6700 0.0909 0.3400  2 Tb 3.12, 3 Nd 3.18-3.21, 1 La 3.22
10 Te 0.0045 0.2555 0.0089  1 Tb 3.07, 3 Nd 3.14-3.17, 2 La 3.19
11 Te 0.9955 0.7445 0.9911  1 Tb 3.07, 3 Nd 3.14-3.17, 2 La 3.19
12 Te 0.3306 0.4235 0.6612  3 Tb 3.11-3.12, 3 Nd 3.21

Summary:
DOS at the Fermi energy: 0.57 states/eV per atom
final energy: -5.36 eV per atom
symmetry: C2/m (12)
size of the total moment: 0.000 μB/atom
E_form (uncorrected): -1.414 eV/atom

---

No. 3
## La3TbNd3Te8 (PBE-GGA)

Data for La3TbNd3Te8 after structural relaxation.

abc: 9.0121 9.0122 9.0627
angles: 119.82 90.00 120.00
Last column: nearest neighbours and their distance in Å.
Positions (direct):
1 La 0.0000 0.0000 0.0000  6 Te 3.21-3.22
2 La 0.0000 0.5000 0.0000  6 Te 3.21-3.22
3 La 0.5000 0.5000 0.0000  6 Te 3.21-3.22
4 Tb 0.0000 0.0000 0.5000  6 Te 3.17
5 Nd 0.5000 0.0000 0.5000  6 Te 3.17-3.18
6 Nd 0.5000 0.5000 0.5000  6 Te 3.18
7 Nd 0.0000 0.5000 0.5000  6 Te 3.18
8 Te 0.2515 0.5030 0.2545  3 Nd 3.18, 3 La 3.21
9 Te 0.7485 0.4970 0.7455  3 Nd 3.18, 3 La 3.21
10 Te 0.7520 0.5040 0.2552  1 Tb 3.17, 2 Nd 3.18, 2 La 3.22
11 Te 0.2480 0.4960 0.7448  1 Tb 3.17, 2 Nd 3.18, 2 La 3.22
12 Te 0.7521 0.0031 0.2552  1 Tb 3.17, 2 Nd 3.18, 2 La 3.22
13 Te 0.2479 0.9969 0.7448  1 Tb 3.17, 2 Nd 3.18, 2 La 3.22
14 Te 0.2511 0.0031 0.2552  1 Tb 3.17, 2 Nd 3.17-3.18, 2 La 3.22
15 Te 0.7489 0.9969 0.7448  1 Tb 3.17, 2 Nd 3.17-3.18, 2 La 3.22

Summary:
DOS at the Fermi energy: 0.54 states/eV per atom
final energy: -5.44 eV per atom
symmetry: R-3m (166)
size of the total moment: 0.000 μB/atom
E_form (uncorrected): -1.517 eV/atom

---

Calculated volume, respectively: 32.17, 31.62, 34.79 Å³/atom.